<w>
First-principles (PBE) data for a geometry-optimized Pr2ErMg structure, as listed in Alexandria.

Cell and atoms, written as POSCAR:
```
Pr2ErMg
1.0
1.758 1.015 12.541
-1.758 1.015 12.541
0.000 -2.030 12.541
Pr Er Mg
2 1 1
Direct
0.090 0.090 0.090 Pr
0.910 0.910 0.910 Pr
0.500 0.500 0.500 Er
0.000 0.000 0.000 Mg
```

* density: 5.85 Mg/m³
* symmetry: R-3m (166)
* V: 134.3 Å³ per cell



<x>
First-principles (PBE) data for a geometry-optimized Pr2ErMg structure, as listed in Alexandria.

Cell and atoms, written as POSCAR:
```
Pr2ErMg
1.0
3.745 0.000 0.000
0.000 3.745 0.000
0.000 0.000 9.062
Pr Er Mg
2 1 1
Direct
0.000 0.000 0.233 Pr
0.000 0.000 0.767 Pr
0.500 0.500 0.500 Er
0.500 0.500 0.000 Mg
```

* density: 6.18 Mg/m³
* symmetry: P4/mmm (123)
* V: 127.1 Å³ per cell



<y>
First-principles (PBE) data for a geometry-optimized Pr2ErMg structure, as listed in Alexandria.

Cell and atoms, written as POSCAR:
```
Pr2ErMg
1.0
0.000 3.978 3.978
3.978 0.000 3.978
3.978 3.978 0.000
Pr Er Mg
2 1 1
Direct
0.250 0.250 0.250 Pr
0.750 0.750 0.750 Pr
0.000 0.000 0.000 Er
0.500 0.500 0.500 Mg
```

* density: 6.24 Mg/m³
* symmetry: Fm-3m (225)
* V: 125.9 Å³ per cell



<x> is the most stable structure; the next one sits 38 meV/atom above it.



<w>
First-principles (PBE) data for a geometry-optimized Pr2Er6Mg structure, as listed in Alexandria.

Cell and atoms, written as POSCAR:
```
Pr2Er6Mg
1.0
3.544 0.000 0.000
-1.772 3.069 0.000
0.000 0.000 26.089
Pr Er Mg
2 6 1
Direct
0.000 0.000 0.173 Pr
0.000 0.000 0.827 Pr
0.000 0.000 0.396 Er
0.000 0.000 0.604 Er
0.667 0.333 0.063 Er
0.667 0.333 0.290 Er
0.667 0.333 0.710 Er
0.667 0.333 0.937 Er
0.667 0.333 0.500 Mg
```

* density: 7.66 Mg/m³
* symmetry: P-6m2 (187)
* V: 283.8 Å³ per cell



<x>
First-principles (PBE) data for a geometry-optimized Pr2Er6Mg structure, as listed in Alexandria.

Cell and atoms, written as POSCAR:
```
Pr2Er6Mg
1.0
10.556 0.000 0.000
0.000 10.556 0.000
0.000 0.000 5.016
Pr Er Mg
4 12 2
Direct
0.164 0.164 0.000 Pr
0.336 0.664 0.500 Pr
0.664 0.336 0.500 Pr
0.836 0.836 0.000 Pr
0.001 0.665 0.500 Er
0.165 0.499 0.000 Er
0.169 0.831 0.000 Er
0.331 0.331 0.500 Er
0.335 0.999 0.500 Er
0.499 0.165 0.000 Er
0.501 0.835 0.000 Er
0.665 0.001 0.500 Er
0.669 0.669 0.500 Er
0.831 0.169 0.000 Er
0.835 0.501 0.000 Er
0.999 0.335 0.500 Er
0.000 0.000 0.500 Mg
0.500 0.500 0.000 Mg
```

* density: 7.78 Mg/m³
* symmetry: P4_2/mnm (136)
* V: 559.0 Å³ per cell



<x> is the most stable structure; the next one sits 55 meV/atom above it.



<w>
First-principles (PBE) data for a geometry-optimized Pr4ErMg2 structure, as listed in Alexandria.

Cell and atoms, written as POSCAR:
```
Pr4ErMg2
1.0
2.835 1.637 9.004
-2.835 1.637 9.004
0.000 -3.273 9.004
Pr Er Mg
4 1 2
Direct
0.130 0.130 0.130 Pr
0.259 0.259 0.259 Pr
0.741 0.741 0.741 Pr
0.870 0.870 0.870 Pr
0.500 0.500 0.500 Er
0.380 0.380 0.380 Mg
0.620 0.620 0.620 Mg
```

* density: 5.16 Mg/m³
* symmetry: R-3m (166)
* V: 250.7 Å³ per cell



<x>
First-principles (PBE) data for a geometry-optimized Pr4ErMg2 structure, as listed in Alexandria.

Cell and atoms, written as POSCAR:
```
Pr4ErMg2
1.0
-3.796 3.796 4.173
3.796 -3.796 4.173
3.796 3.796 -4.173
Pr Er Mg
4 1 2
Direct
0.000 0.000 0.500 Pr
0.000 0.500 0.000 Pr
0.500 0.000 0.000 Pr
0.500 0.500 0.500 Pr
0.000 0.000 0.000 Er
0.000 0.500 0.500 Mg
0.500 0.000 0.500 Mg
```

* density: 5.38 Mg/m³
* symmetry: I4/mmm (139)
* V: 240.5 Å³ per cell



<x> is the most stable structure; the next one sits 101 meV/atom above it.



<w>
First-principles (PBE) data for a geometry-optimized PrErMg2 structure, as listed in Alexandria.

Cell and atoms, written as POSCAR:
```
PrErMg2
1.0
5.389 0.000 0.000
0.000 5.389 0.000
0.000 0.000 3.887
Pr Er Mg
1 1 2
Direct
0.000 0.000 0.000 Pr
0.500 0.500 0.000 Er
0.000 0.500 0.500 Mg
0.500 0.000 0.500 Mg
```

* density: 5.25 Mg/m³
* symmetry: P4/mmm (123)
* V: 112.9 Å³ per cell



<x>
First-principles (PBE) data for a geometry-optimized PrErMg2 structure, as listed in Alexandria.

Cell and atoms, written as POSCAR:
```
PrErMg2
1.0
0.000 3.835 3.835
3.835 0.000 3.835
3.835 3.835 0.000
Pr Er Mg
1 1 2
Direct
0.000 0.000 0.000 Pr
0.500 0.500 0.500 Er
0.250 0.250 0.250 Mg
0.750 0.750 0.750 Mg
```

* density: 5.25 Mg/m³
* symmetry: Fm-3m (225)
* V: 112.8 Å³ per cell



<x> is the most stable structure; the next one sits 10 meV/atom above it.



<w>
First-principles (PBE) data for a geometry-optimized Pr4Er2Mg structure, as listed in Alexandria.

Cell and atoms, written as POSCAR:
```
Pr4Er2Mg
1.0
5.995 0.000 0.000
0.000 3.695 0.000
-1.812 0.000 10.936
Pr Er Mg
4 2 1
Direct
0.045 0.000 0.206 Pr
0.438 0.500 0.748 Pr
0.562 0.500 0.252 Pr
0.955 0.000 0.794 Pr
0.000 0.500 0.500 Er
0.500 0.000 0.500 Er
0.500 0.000 0.000 Mg
```

* density: 6.32 Mg/m³
* symmetry: P2/m (10)
* V: 242.2 Å³ per cell



<x>
First-principles (PBE) data for a geometry-optimized Pr4Er2Mg structure, as listed in Alexandria.

Cell and atoms, written as POSCAR:
```
Pr4Er2Mg
1.0
-3.444 5.706 6.044
3.444 -5.706 6.044
3.444 5.706 -6.044
Pr Er Mg
8 4 2
Direct
0.169 0.156 0.012 Pr
0.241 0.215 0.474 Pr
0.241 0.767 0.026 Pr
0.356 0.844 0.512 Pr
0.644 0.156 0.488 Pr
0.759 0.233 0.974 Pr
0.759 0.785 0.526 Pr
0.831 0.844 0.988 Pr
0.000 0.500 0.500 Er
0.034 0.284 0.750 Er
0.500 0.500 0.000 Er
0.966 0.716 0.250 Er
0.500 0.000 0.000 Mg
0.500 0.500 0.500 Mg
```

* density: 6.45 Mg/m³
* symmetry: Imma (74)
* V: 475.1 Å³ per cell



<w> is the most stable structure; the next one sits 69 meV/atom above it.



<w>
First-principles (PBE) data for a geometry-optimized Pr3Er4Mg structure, as listed in Alexandria.

Cell and atoms, written as POSCAR:
```
Pr3Er4Mg
1.0
8.058 -2.875 0.000
8.058 2.875 0.000
-2.128 0.000 5.537
Pr Er Mg
3 4 1
Direct
0.000 0.000 0.000 Pr
0.130 0.130 0.593 Pr
0.870 0.870 0.407 Pr
0.250 0.250 0.197 Er
0.373 0.373 0.830 Er
0.627 0.627 0.170 Er
0.750 0.750 0.803 Er
0.500 0.500 0.500 Mg
```

* density: 7.23 Mg/m³
* symmetry: C2/m (12)
* V: 256.5 Å³ per cell



<x>
First-principles (PBE) data for a geometry-optimized Pr3Er4Mg structure, as listed in Alexandria.

Cell and atoms, written as POSCAR:
```
Pr3Er4Mg
1.0
11.358 0.000 0.000
0.000 7.205 0.000
0.000 0.000 6.243
Pr Er Mg
6 8 2
Direct
0.000 0.131 0.000 Pr
0.241 0.122 0.650 Pr
0.259 0.878 0.150 Pr
0.500 0.869 0.500 Pr
0.741 0.878 0.150 Pr
0.759 0.122 0.650 Pr
0.000 0.388 0.472 Er
0.000 0.624 0.985 Er
0.244 0.622 0.648 Er
0.256 0.378 0.148 Er
0.500 0.376 0.485 Er
0.500 0.612 0.972 Er
0.744 0.378 0.148 Er
0.756 0.622 0.648 Er
0.000 0.864 0.487 Mg
0.500 0.136 0.987 Mg
```

* density: 7.26 Mg/m³
* symmetry: Pmn2_1 (31)
* V: 510.9 Å³ per cell



<x> is the most stable structure; the next one sits 69 meV/atom above it.



<w>
First-principles (PBE) data for a geometry-optimized PrErMgRu structure, as listed in Alexandria.

Cell and atoms, written as POSCAR:
```
PrErMgRu
1.0
0.000 3.608 3.608
3.608 0.000 3.608
3.608 3.608 0.000
Pr Er Mg Ru
1 1 1 1
Direct
0.000 0.000 0.000 Pr
0.500 0.500 0.500 Er
0.250 0.250 0.250 Mg
0.750 0.750 0.750 Ru
```

* density: 7.67 Mg/m³
* symmetry: F-43m (216)
* V: 93.9 Å³ per cell



<x>
First-principles (PBE) data for a geometry-optimized PrErMgRu structure, as listed in Alexandria.

Cell and atoms, written as POSCAR:
```
PrErMgRu
1.0
3.441 0.000 0.000
0.000 3.441 0.000
0.000 0.000 8.595
Pr Er Mg Ru
1 1 1 1
Direct
0.000 0.000 0.000 Pr
0.000 0.000 0.605 Er
0.500 0.500 0.313 Mg
0.500 0.500 0.787 Ru
```

* density: 7.07 Mg/m³
* symmetry: P4mm (99)
* V: 101.8 Å³ per cell



<x> is the most stable structure; the next one sits 93 meV/atom above it.



<w>
First-principles (PBE) data for a geometry-optimized PrErThMg structure, as listed in Alexandria.

Cell and atoms, written as POSCAR:
```
PrErThMg
1.0
3.613 0.000 0.000
0.000 3.613 0.000
0.000 0.000 9.339
Pr Er Th Mg
1 1 1 1
Direct
0.000 0.000 0.000 Pr
0.000 0.000 0.482 Er
0.500 0.500 0.734 Th
0.500 0.500 0.253 Mg
```

* density: 7.69 Mg/m³
* symmetry: P4mm (99)
* V: 121.9 Å³ per cell



<x>
First-principles (PBE) data for a geometry-optimized PrErThMg structure, as listed in Alexandria.

Cell and atoms, written as POSCAR:
```
PrErThMg
1.0
0.000 3.941 3.941
3.941 0.000 3.941
3.941 3.941 0.000
Pr Er Th Mg
1 1 1 1
Direct
0.000 0.000 0.000 Pr
0.250 0.250 0.250 Er
0.500 0.500 0.500 Th
0.750 0.750 0.750 Mg
```

* density: 7.66 Mg/m³
* symmetry: F-43m (216)
* V: 122.4 Å³ per cell



<w> is the most stable structure; the next one sits 132 meV/atom above it.